[1]
# Dy4RhAu GGA-PBE relaxed
data_Dy4RhAu
_space_group_name_H-M_alt 'P n m a'
_space_group_IT_number 62
_cell_length_a 8.268
_cell_length_b 4.800
_cell_length_c 15.609
_cell_angle_alpha 90.00
_cell_angle_beta 90.00
_cell_angle_gamma 90.00
loop_
_space_group_symop_operation_xyz
'x,y,z'
'-x,-y,-z'
'-x+1/2,-y,z+1/2'
'x+1/2,y,-z+1/2'
'x+1/2,-y+1/2,-z+1/2'
'-x+1/2,y+1/2,z+1/2'
'-x,y+1/2,-z'
'x,-y+1/2,z'
loop_
_atom_site_label
_atom_site_fract_x
_atom_site_fract_y
_atom_site_fract_z
Dy1 0.034 0.250 0.078
Dy2 0.083 0.250 0.778
Dy3 0.130 0.250 0.337
Dy4 0.151 0.250 0.566
Rh1 0.194 0.750 0.686
Au1 0.229 0.750 0.440
# - E_form (eV per atom) = -0.5969
# - DOS at the Fermi energy (states/eV/f.u.) = 6.28
# - energy relative to the lowest polymorph listed for this composition (eV per formula unit) = 0.000

***

[2]
# ScTa3Tl GGA-PBE relaxed
data_ScTa3Tl
_space_group_name_H-M_alt 'P m -3 m'
_space_group_IT_number 221
_space_group_name_Hall '-P 4 2 3'
_cell_length_a 5.097
_cell_length_b 5.097
_cell_length_c 5.097
_cell_angle_alpha 90.00
_cell_angle_beta 90.00
_cell_angle_gamma 90.00
loop_
_atom_site_label
_atom_site_fract_x
_atom_site_fract_y
_atom_site_fract_z
Sc1 0.000 0.000 0.000
Ta1 0.000 0.500 0.500
Tl1 0.500 0.500 0.500
# - E_form (eV per atom) = 2.0609
# - DOS at the Fermi energy (states/eV/f.u.) = 8.76
# - energy relative to the lowest polymorph listed for this composition (eV per formula unit) = 1.152

***

[3]
# LaRh3 GGA-PBE relaxed
data_LaRh3
_space_group_name_H-M_alt 'P 63/m m c'
_space_group_IT_number 194
_space_group_name_Hall '-P 6c 2c'
_cell_length_a 5.3519
_cell_length_b 5.3519
_cell_length_c 17.8439
_cell_angle_alpha 90.00
_cell_angle_beta 90.00
_cell_angle_gamma 120.00
loop_
_atom_site_label
_atom_site_fract_x
_atom_site_fract_y
_atom_site_fract_z
La1 0.3333 0.6667 0.0426
La2 0.3333 0.6667 0.2500
Rh1 0.0000 0.0000 0.0000
Rh2 0.0000 0.0000 0.2500
Rh3 0.1665 0.3331 0.6279
Rh4 0.3333 0.6667 0.7500
# - E_form (eV per atom) = -0.5367
# - DOS at the Fermi energy (states/eV/f.u.) = 2.94

***

[4]
# Ac2TbPmY5 GGA-PBE relaxed
data_Ac2TbPmY5
_space_group_name_H-M_alt 'C m c 21'
_space_group_IT_number 36
_cell_length_a 5.819
_cell_length_b 20.239
_cell_length_c 10.999
_cell_angle_alpha 90.00
_cell_angle_beta 90.00
_cell_angle_gamma 90.00
loop_
_space_group_symop_operation_xyz
'x,y,z'
'-x,-y,z+1/2'
'-x,y,z'
'x,-y,z+1/2'
'x+1/2,y+1/2,z'
'-x+1/2,-y+1/2,z+1/2'
'-x+1/2,y+1/2,z'
'x+1/2,-y+1/2,z+1/2'
loop_
_atom_site_label
_atom_site_fract_x
_atom_site_fract_y
_atom_site_fract_z
Ac1 0.000 0.110 0.000
Ac2 0.000 0.117 0.590
Tb1 0.000 0.416 0.728
Pm1 0.000 0.205 0.276
Y1 0.000 0.020 0.295
Y2 0.000 0.286 0.570
Y3 0.000 0.298 0.969
Y4 0.000 0.395 0.290
Y5 0.000 0.479 0.005
# - E_form (eV per atom) = 0.1502
# - DOS at the Fermi energy (states/eV/f.u.) = 13.31

***

[5]
# HfMn2Pt8 GGA-PBE relaxed
data_HfMn2Pt8
_space_group_name_H-M_alt 'C 1 2/m 1'
_space_group_IT_number 12
_cell_length_a 14.259
_cell_length_b 3.990
_cell_length_c 6.348
_cell_angle_alpha 90.00
_cell_angle_beta 106.81
_cell_angle_gamma 90.00
loop_
_space_group_symop_operation_xyz
'x,y,z'
'-x,-y,-z'
'-x,y,-z'
'x,-y,z'
'x+1/2,y+1/2,z'
'-x+1/2,-y+1/2,-z'
'-x+1/2,y+1/2,-z'
'x+1/2,-y+1/2,z'
loop_
_atom_site_label
_atom_site_fract_x
_atom_site_fract_y
_atom_site_fract_z
Hf1 0.000 0.000 0.000
Mn1 0.225 0.500 0.647
Pt1 0.046 0.500 0.723
Pt2 0.098 0.000 0.455
Pt3 0.140 0.500 0.191
Pt4 0.182 0.000 0.917
# - E_form (eV per atom) = -0.5601
# - DOS at the Fermi energy (states/eV/f.u.) = 9.57

***

[6]
# La2VP GGA-PBE relaxed
data_La2VP
_space_group_name_H-M_alt 'I -4 2 d'
_space_group_IT_number 122
_space_group_name_Hall 'I -4 2bw'
_cell_length_a 8.106
_cell_length_b 8.106
_cell_length_c 6.305
_cell_angle_alpha 90.00
_cell_angle_beta 90.00
_cell_angle_gamma 90.00
loop_
_atom_site_label
_atom_site_fract_x
_atom_site_fract_y
_atom_site_fract_z
La1 0.234 0.750 0.125
V1 0.000 0.000 0.500
P1 0.000 0.000 0.000
# - E_form (eV per atom) = 0.0231
# - DOS at the Fermi energy (states/eV/f.u.) = 4.35

***

[7]
# GaNi2H GGA-PBE relaxed
data_GaNi2H
_space_group_name_H-M_alt 'R 3 m'
_space_group_IT_number 160
_space_group_name_Hall 'R 3 -2"'
_cell_length_a 2.7336
_cell_length_b 2.7336
_cell_length_c 17.8047
_cell_angle_alpha 90.00
_cell_angle_beta 90.00
_cell_angle_gamma 120.00
loop_
_atom_site_label
_atom_site_fract_x
_atom_site_fract_y
_atom_site_fract_z
Ga1 0.0000 0.0000 0.0000
Ni1 0.0000 0.0000 0.5583
Ni2 0.0000 0.0000 0.7749
H1 0.0000 0.0000 0.1685
# - DOS at the Fermi energy (states/eV/f.u.) = 1.22
# - energy relative to the lowest polymorph listed for this composition (eV per formula unit) = 0.070

***

[8]
# Ga8AgIr2 GGA-PBE relaxed
data_Ga8AgIr2
_space_group_name_H-M_alt 'C 1 2/m 1'
_space_group_IT_number 12
_cell_length_a 11.422
_cell_length_b 7.053
_cell_length_c 5.040
_cell_angle_alpha 90.00
_cell_angle_beta 99.29
_cell_angle_gamma 90.00
loop_
_space_group_symop_operation_xyz
'x,y,z'
'-x,-y,-z'
'-x,y,-z'
'x,-y,z'
'x+1/2,y+1/2,z'
'-x+1/2,-y+1/2,-z'
'-x+1/2,y+1/2,-z'
'x+1/2,-y+1/2,z'
loop_
_atom_site_label
_atom_site_fract_x
_atom_site_fract_y
_atom_site_fract_z
Ga1 0.075 0.000 0.342
Ga2 0.103 0.222 0.896
Ga3 0.208 0.500 0.323
Ag1 0.000 0.500 0.500
Ir1 0.231 0.500 0.833
# - E_form (eV per atom) = -0.1715
# - DOS at the Fermi energy (states/eV/f.u.) = 3.47

***

[9]
# As2H2I GGA-PBE relaxed
data_As2H2I
_space_group_name_H-M_alt 'P -1'
_space_group_IT_number 2
_cell_length_a 4.469
_cell_length_b 5.897
_cell_length_c 10.233
_cell_angle_alpha 82.90
_cell_angle_beta 85.63
_cell_angle_gamma 87.43
loop_
_space_group_symop_operation_xyz
'x,y,z'
'-x,-y,-z'
loop_
_atom_site_label
_atom_site_fract_x
_atom_site_fract_y
_atom_site_fract_z
As1 0.032 0.336 0.087
As2 0.311 0.641 0.499
H1 0.230 0.473 0.164
H2 0.312 0.243 0.010
I1 0.408 0.101 0.693
# - calculated total energy (eV for the cell shown) = -34.31

***

[10]
# Ca3LaCe2Te6 GGA-PBE relaxed
data_Ca3LaCe2Te6
_space_group_name_H-M_alt 'C 1 2/m 1'
_space_group_IT_number 12
_cell_length_a 19.836
_cell_length_b 4.485
_cell_length_c 9.121
_cell_angle_alpha 90.00
_cell_angle_beta 104.59
_cell_angle_gamma 90.00
loop_
_space_group_symop_operation_xyz
'x,y,z'
'-x,-y,-z'
'-x,y,-z'
'x,-y,z'
'x+1/2,y+1/2,z'
'-x+1/2,-y+1/2,-z'
'-x+1/2,y+1/2,-z'
'x+1/2,-y+1/2,z'
loop_
_atom_site_label
_atom_site_fract_x
_atom_site_fract_y
_atom_site_fract_z
Ca1 0.000 0.000 0.000
Ca2 0.166 0.500 0.333
La1 0.000 0.000 0.500
Ce1 0.168 0.500 0.835
Te1 0.001 0.500 0.244
Te2 0.165 0.000 0.087
Te3 0.169 0.000 0.581
# - DOS at the Fermi energy (states/eV/f.u.) = 18.21
# - uncorrected formation energy (meV/atom) = -1502

***

[11]
# Tb2Zn3Cu2 GGA-PBE relaxed
data_Tb2Zn3Cu2
_space_group_name_H-M_alt 'C 1 2/m 1'
_space_group_IT_number 12
_cell_length_a 9.731
_cell_length_b 4.250
_cell_length_c 6.745
_cell_angle_alpha 90.00
_cell_angle_beta 113.33
_cell_angle_gamma 90.00
loop_
_space_group_symop_operation_xyz
'x,y,z'
'-x,-y,-z'
'-x,y,-z'
'x,-y,z'
'x+1/2,y+1/2,z'
'-x+1/2,-y+1/2,-z'
'-x+1/2,y+1/2,-z'
'x+1/2,-y+1/2,z'
loop_
_atom_site_label
_atom_site_fract_x
_atom_site_fract_y
_atom_site_fract_z
Tb1 0.146 0.000 0.273
Zn1 0.000 0.500 0.500
Zn2 0.119 0.500 0.931
Cu1 0.142 0.000 0.713
# - E_form (eV per atom) = -0.3143
# - DOS at the Fermi energy (states/eV/f.u.) = 4.69

***

[12]
# YSi2Se GGA-PBE relaxed
data_YSi2Se
_space_group_name_H-M_alt 'I 4/m m m'
_space_group_IT_number 139
_space_group_name_Hall '-I 4 2'
_cell_length_a 3.929
_cell_length_b 3.929
_cell_length_c 10.323
_cell_angle_alpha 90.00
_cell_angle_beta 90.00
_cell_angle_gamma 90.00
loop_
_atom_site_label
_atom_site_fract_x
_atom_site_fract_y
_atom_site_fract_z
Y1 0.000 0.000 0.000
Si1 0.000 0.500 0.250
Se1 0.000 0.000 0.500
# - DOS at the Fermi energy (states/eV/f.u.) = 2.59
# - uncorrected formation energy (meV/atom) = -398